(a)
DFT (GGA-PBE) results for a relaxed structure of KZrAgTeSe2.

a b c (Å): 4.0085 15.6823 10.8988
angles (deg): 90.00 90.00 90.00
Closest atoms and distances in Å follow each position.
Space group Cmcm (No. 63)
One atom of each set of equivalent atoms:
K 0.0000 0.2294 0.2500 [4 per cell]  4 Se 3.50, 2 Te 3.54, 2 Ag 3.62
Zr 0.0000 0.0000 0.0000 [4 per cell]  4 Se 2.76, 2 Te 3.03
Ag 0.0000 0.4625 0.7500 [4 per cell]  2 Se 2.59, 2 Te 2.77
Te 0.0000 0.0844 0.7500 [4 per cell]  2 Ag 2.77, 2 Zr 3.03
Se 0.0000 0.3825 0.5421 [8 per cell]  1 Ag 2.59, 2 Zr 2.76

Spin magnetization = 0.00 μB/atom

=====

(b)
DFT (GGA-PBE) results for a relaxed structure of KZrAgTeSe2.

a b c (Å): 8.5209 4.0787 10.2903
angles (deg): 90.00 110.53 90.00
Closest atoms and distances in Å follow each position.
Space group P2_1/m (No. 11)
One atom of each set of equivalent atoms:
K 0.2299 0.2500 0.2010 [2 per cell]  5 Se 3.41-3.68, 2 Te 3.58
Zr 0.1815 0.7500 0.6643 [2 per cell]  4 Se 2.67-2.83, 2 Te 2.96
Ag 0.4213 0.2500 0.8948 [2 per cell]  3 Se 2.72-2.86, 1 Te 2.75, 2 Ag 2.93
Te 0.4126 0.2500 0.6255 [2 per cell]  1 Ag 2.75, 2 Zr 2.96
Se 0.0454 0.7500 0.3709 [2 per cell]  3 Zr 2.75-2.83
Se 0.2319 0.7500 0.9352 [2 per cell]  1 Zr 2.67, 3 Ag 2.72-2.86

Spin magnetization = 0.00 μB/atom

=====

(c)
DFT (GGA-PBE) results for a relaxed structure of KZrAgTeSe2.

a b c (Å): 8.5391 4.0500 10.3287
angles (deg): 90.00 109.92 90.00
Closest atoms and distances in Å follow each position.
Space group P2_1/m (No. 11)
One atom of each set of equivalent atoms:
K 0.2309 0.2500 0.2513 [2 per cell]  4 Se 3.32-3.41, 2 Te 3.63
Zr 0.3148 0.7500 0.8428 [2 per cell]  5 Se 2.75-2.78, 1 Te 2.89
Ag 0.0765 0.2500 0.6038 [2 per cell]  1 Se 2.64, 3 Te 2.84-2.94, 2 Ag 2.92
Te 0.2827 0.7500 0.5549 [2 per cell]  3 Ag 2.84-2.94, 1 Zr 2.89
Se 0.1094 0.2500 0.8673 [2 per cell]  1 Ag 2.64, 2 Zr 2.75
Se 0.4530 0.7500 0.1273 [2 per cell]  3 Zr 2.77-2.78

Spin magnetization = 0.00 μB/atom

=====

On energetic grounds, (c) is preferred over the next structure by 2.3 kJ/mol of atoms.